[1]
Entry from Alexandria via LeMat-Bulk: a geometry-optimized Y5C structure (PBEsol).

- DFT total energy: -0.2512 Ha/atom
- Energy of formation from the pure elements: 0.46 eV/atom
- Symmetry: Amm2, No. 38

Unit cell a=4.8518 b=3.8759 c=17.2962 alpha=90.00 beta=90.00 gamma=90.00
Sites, in units of the cell vectors:
Y1 0.0000 0.0000 0.0000
Y2 0.0000 0.0000 0.3140
Y3 0.0000 0.5000 0.5000
Y4 0.0000 0.5000 0.8140
Y5 0.5000 0.0000 0.1727
Y6 0.5000 0.0000 0.5303
Y7 0.5000 0.0000 0.8540
Y8 0.5000 0.5000 0.0303
Y9 0.5000 0.5000 0.3540
Y10 0.5000 0.5000 0.6727
C1 0.0000 0.0000 0.5774
C2 0.0000 0.5000 0.0774



[2]
Entry from Alexandria via LeMat-Bulk: a geometry-optimized Y5C3 structure (PBEsol).

- DFT total energy: -0.2806 Ha/atom
- Energy of formation from the pure elements: 0.25 eV/atom
- Symmetry: P4/mmm, No. 123

Unit cell a=3.1095 b=3.1095 c=15.1938 alpha=90.00 beta=90.00 gamma=90.00
Sites, in units of the cell vectors:
Y1 0.0000 0.0000 0.0000
Y2 0.0000 0.0000 0.1926
Y3 0.0000 0.0000 0.8074
Y4 0.5000 0.5000 0.4106
Y5 0.5000 0.5000 0.5894
C1 0.0000 0.0000 0.5000
C2 0.5000 0.5000 0.1086
C3 0.5000 0.5000 0.8914



[3]
Entry from Alexandria via LeMat-Bulk: a geometry-optimized Y3C structure (PBEsol).

- DFT total energy: -0.2836 Ha/atom
- Energy of formation from the pure elements: -0.19 eV/atom
- Symmetry: Immm, No. 71

Unit cell a=3.5437 b=4.9621 c=11.1960 alpha=90.00 beta=90.00 gamma=90.00
Sites, in units of the cell vectors:
Y1 0.0000 0.0000 0.0000
Y2 0.0000 0.0000 0.3500
Y3 0.0000 0.0000 0.6500
Y4 0.5000 0.5000 0.1500
Y5 0.5000 0.5000 0.5000
Y6 0.5000 0.5000 0.8500
C1 0.0000 0.5000 0.0000
C2 0.5000 0.0000 0.5000



[4]
Entry from Alexandria via LeMat-Bulk: a geometry-optimized Y5C structure (PBEsol).

- DFT total energy: -0.2618 Ha/atom
- Energy of formation from the pure elements: 0.17 eV/atom
- Symmetry: P4/mmm, No. 123

Unit cell a=3.2681 b=3.2681 c=13.8727 alpha=90.00 beta=90.00 gamma=90.00
Sites, in units of the cell vectors:
Y1 0.0000 0.0000 0.0000
Y2 0.0000 0.0000 0.4045
Y3 0.0000 0.0000 0.5955
Y4 0.5000 0.5000 0.1926
Y5 0.5000 0.5000 0.8074
C1 0.5000 0.5000 0.5000



[5]
Entry from Alexandria via LeMat-Bulk: a geometry-optimized YC2 structure (PBEsol).

- DFT total energy: -0.3277 Ha/atom
- Energy of formation from the pure elements: -0.21 eV/atom
- Symmetry: C2/m, No. 12

Unit cell a=6.9800 b=3.6254 c=3.6242 alpha=90.00 beta=118.34 gamma=90.00
Sites, in units of the cell vectors:
Y1 0.0000 0.0000 0.0000
Y2 0.5000 0.5000 0.0000
C1 0.1058 0.5000 0.6086
C2 0.3942 0.0000 0.3914
C3 0.6058 0.0000 0.6086
C4 0.8942 0.5000 0.3914



[6]
Entry from Alexandria via LeMat-Bulk: a geometry-optimized YC2 structure (PBEsol).

- DFT total energy: -0.2652 Ha/atom
- Energy of formation from the pure elements: 1.49 eV/atom
- Symmetry: P6_3/mmc, No. 194

Unit cell a=4.1296 b=4.1296 c=5.0059 alpha=90.00 beta=90.00 gamma=120.00
Sites, in units of the cell vectors:
Y1 0.3333 0.6667 0.2500
Y2 0.6667 0.3333 0.7500
C1 0.0000 0.0000 0.0000
C2 0.0000 0.0000 0.5000
C3 0.3333 0.6667 0.7500
C4 0.6667 0.3333 0.2500



[7]
Entry from Alexandria via LeMat-Bulk: a geometry-optimized Y4C7 structure (PBEsol).

- DFT total energy: -0.3282 Ha/atom
- Energy of formation from the pure elements: -0.31 eV/atom
- Symmetry: P2_1/c, No. 14

Unit cell a=3.6674 b=13.6633 c=6.3859 alpha=90.00 beta=104.79 gamma=90.00
Sites, in units of the cell vectors:
Y1 0.0584 0.1625 0.1633
Y2 0.0584 0.3375 0.6633
Y3 0.3665 0.0554 0.7386
Y4 0.3665 0.4446 0.2386
Y5 0.6335 0.5554 0.7614
Y6 0.6335 0.9446 0.2614
Y7 0.9416 0.6625 0.3367
Y8 0.9416 0.8375 0.8367
C1 0.0000 0.0000 0.0000
C2 0.0000 0.5000 0.5000
C3 0.2671 0.6035 0.0498
C4 0.2671 0.8965 0.5498
C5 0.3745 0.6965 0.0441
C6 0.3745 0.8035 0.5441
C7 0.4708 0.2154 0.9242
C8 0.4708 0.2846 0.4242
C9 0.5292 0.7154 0.5758
C10 0.5292 0.7846 0.0758
C11 0.6255 0.1965 0.4559
C12 0.6255 0.3035 0.9559
C13 0.7329 0.1035 0.4502
C14 0.7329 0.3965 0.9502



[8]
Entry from Alexandria via LeMat-Bulk: a geometry-optimized Zn5C structure (PBEsol).

- DFT total energy: -0.0702 Ha/atom
- Energy of formation from the pure elements: 1.02 eV/atom
- Symmetry: P6/mmm, No. 191

Unit cell a=4.7464 b=4.7464 c=4.5082 alpha=90.00 beta=90.00 gamma=120.00
Sites, in units of the cell vectors:
Zn1 0.0000 0.5000 0.0000
Zn2 0.3333 0.6667 0.5000
Zn3 0.5000 0.0000 0.0000
Zn4 0.5000 0.5000 0.0000
Zn5 0.6667 0.3333 0.5000
C1 0.0000 0.0000 0.5000



[9]
Entry from Alexandria via LeMat-Bulk: a geometry-optimized ZnC structure (PBEsol).

- DFT total energy: -0.1748 Ha/atom
- Energy of formation from the pure elements: 0.86 eV/atom
- Symmetry: Cm, No. 8

Unit cell a=9.3063 b=2.5409 c=6.6603 alpha=90.00 beta=118.80 gamma=90.00
Sites, in units of the cell vectors:
Zn1 0.0000 0.0000 0.0000
Zn2 0.0706 0.5000 0.5877
Zn3 0.3310 0.0000 0.1491
Zn4 0.5000 0.5000 0.0000
Zn5 0.5706 0.0000 0.5877
Zn6 0.8310 0.5000 0.1491
C1 0.1394 0.5000 0.9200
C2 0.2473 0.5000 0.4885
C3 0.3010 0.0000 0.4566
C4 0.6394 0.0000 0.9200
C5 0.7473 0.0000 0.4885
C6 0.8010 0.5000 0.4566



[10]
Entry from Alexandria via LeMat-Bulk: a geometry-optimized ZnC structure (PBEsol).

- DFT total energy: -0.1396 Ha/atom
- Energy of formation from the pure elements: 1.81 eV/atom
- Symmetry: Pm-3m, No. 221

Unit cell a=4.1267 b=4.1267 c=4.1267 alpha=90.00 beta=90.00 gamma=90.00
Sites, in units of the cell vectors:
Zn1 0.0000 0.0000 0.5000
Zn2 0.0000 0.5000 0.0000
Zn3 0.5000 0.0000 0.0000
C1 0.0000 0.5000 0.5000
C2 0.5000 0.0000 0.5000
C3 0.5000 0.5000 0.0000



[11]
Entry from Alexandria via LeMat-Bulk: a geometry-optimized Zn2C structure (PBEsol).

- DFT total energy: -0.1336 Ha/atom
- Energy of formation from the pure elements: 0.63 eV/atom
- Symmetry: P4_2/mnm, No. 136

Unit cell a=4.7410 b=4.7410 c=3.2687 alpha=90.00 beta=90.00 gamma=90.00
Sites, in units of the cell vectors:
Zn1 0.2003 0.2003 0.0000
Zn2 0.2997 0.7003 0.5000
Zn3 0.7003 0.2997 0.5000
Zn4 0.7997 0.7997 0.0000
C1 0.0000 0.0000 0.5000
C2 0.5000 0.5000 0.0000



[12]
Entry from Alexandria via LeMat-Bulk: a geometry-optimized ZnC2 structure (PBEsol).

- DFT total energy: -0.2081 Ha/atom
- Energy of formation from the pure elements: 1.29 eV/atom
- Symmetry: Cmmm, No. 65

Unit cell a=5.4602 b=5.4602 c=6.5754 alpha=90.00 beta=90.00 gamma=102.41
Sites, in units of the cell vectors:
Zn1 0.0000 0.0000 0.0000
Zn2 0.3607 0.6393 0.5000
Zn3 0.6393 0.3607 0.5000
C1 0.0321 0.7717 0.5000
C2 0.2273 0.2273 0.5000
C3 0.2283 0.9679 0.5000
C4 0.7717 0.0321 0.5000
C5 0.7727 0.7727 0.5000
C6 0.9679 0.2283 0.5000



Question: Which value of energy of formation from the pure elements does entry 12 give?
Answer: 1.29 eV/atom



Please write out number 4 again, unchanged.
Entry from Alexandria via LeMat-Bulk: a geometry-optimized Y5C structure (PBEsol).

- DFT total energy: -0.2618 Ha/atom
- Energy of formation from the pure elements: 0.17 eV/atom
- Symmetry: P4/mmm, No. 123

Unit cell a=3.2681 b=3.2681 c=13.8727 alpha=90.00 beta=90.00 gamma=90.00
Sites, in units of the cell vectors:
Y1 0.0000 0.0000 0.0000
Y2 0.0000 0.0000 0.4045
Y3 0.0000 0.0000 0.5955
Y4 0.5000 0.5000 0.1926
Y5 0.5000 0.5000 0.8074
C1 0.5000 0.5000 0.5000